1.
Entry from the Open Quantum Materials Database: a relaxed PrAsN2O crystal (GGA-PBE).

a = 7.953 Å, b = 7.510 Å, c = 11.136 Å
α = 90.00°, β = 134.15°, γ = 90.00°
Atoms (fractional coordinates):
Pr 0.000 0.249 0.001
Pr 0.000 0.251 0.501
Pr 0.000 0.749 0.499
Pr 0.000 0.751 0.999
Pr 0.496 0.735 0.996
Pr 0.496 0.765 0.496
Pr 0.504 0.235 0.504
Pr 0.504 0.265 0.004
As 0.037 0.002 0.758
As 0.037 0.498 0.258
As 0.480 0.504 0.722
As 0.480 0.996 0.222
As 0.520 0.004 0.778
As 0.520 0.496 0.278
As 0.963 0.502 0.742
As 0.963 0.998 0.242
N 0.075 0.247 0.304
N 0.075 0.253 0.804
N 0.241 0.546 0.491
N 0.241 0.954 0.991
N 0.253 0.546 0.242
N 0.253 0.954 0.742
N 0.427 0.248 0.230
N 0.427 0.252 0.730
N 0.573 0.748 0.270
N 0.573 0.752 0.770
N 0.747 0.046 0.258
N 0.747 0.454 0.758
N 0.759 0.046 0.009
N 0.759 0.454 0.509
N 0.925 0.747 0.196
N 0.925 0.753 0.696
O 0.227 0.539 0.974
O 0.227 0.961 0.474
O 0.278 0.537 0.754
O 0.278 0.963 0.254
O 0.722 0.037 0.746
O 0.722 0.463 0.246
O 0.773 0.039 0.526
O 0.773 0.461 0.026



2.
Entry from the Open Quantum Materials Database: a relaxed PrAsN2O crystal (GGA-PBE).

a = 5.520 Å, b = 5.520 Å, c = 5.520 Å
α = 88.34°, β = 120.35°, γ = 121.57°
Atoms (fractional coordinates):
Pr 0.006 0.250 0.256
Pr 0.994 0.750 0.744
As 0.500 0.000 0.500
As 0.500 0.500 0.000
N 0.001 0.214 0.715
N 0.001 0.785 0.286
N 0.499 0.285 0.285
N 0.499 0.714 0.714
O 0.439 0.751 0.188
O 0.564 0.251 0.812



3.
Entry from the Open Quantum Materials Database: a relaxed PrAsN2O crystal (GGA-PBE).

a = 7.513 Å, b = 7.980 Å, c = 8.001 Å
α = 89.35°, β = 89.62°, γ = 89.59°
Atoms (fractional coordinates):
Pr 0.000 0.000 0.000
Pr 0.002 0.024 0.494
Pr 0.030 0.504 0.470
Pr 0.032 0.527 0.964
Pr 0.497 0.024 0.487
Pr 0.505 0.006 0.019
Pr 0.527 0.521 0.945
Pr 0.535 0.504 0.477
As 0.265 0.757 0.264
As 0.267 0.254 0.764
As 0.269 0.793 0.725
As 0.271 0.294 0.223
As 0.761 0.233 0.741
As 0.763 0.734 0.239
As 0.765 0.274 0.200
As 0.767 0.771 0.699
N 0.013 0.808 0.761
N 0.014 0.318 0.206
N 0.017 0.211 0.759
N 0.018 0.719 0.202
N 0.223 0.794 0.490
N 0.303 0.297 0.988
N 0.308 0.521 0.260
N 0.314 0.018 0.764
N 0.515 0.302 0.702
N 0.515 0.724 0.694
N 0.517 0.226 0.262
N 0.517 0.804 0.270
N 0.717 0.509 0.199
N 0.724 0.007 0.703
N 0.729 0.230 0.976
N 0.809 0.734 0.474
O 0.231 0.484 0.704
O 0.234 0.988 0.203
O 0.240 0.231 0.455
O 0.289 0.731 0.954
O 0.743 0.797 0.010
O 0.793 0.297 0.510
O 0.798 0.540 0.761
O 0.801 0.045 0.261



Respective final energy values: -279.1 -69.1 -278.8 eV per cell.